A geometry-optimized La3Sc2PaAs6 structure, computed with GGA-PBE.

```
12
Lattice="7.182 -0.002 0.000 -3.591 6.220 0.000 -1.197 -2.073 6.858" Properties=species:S:1:pos:R:3 pbc="T T T"
La -2.398 4.148 3.429
La 1.197 2.072 3.429
La 4.791 -0.004 3.429
As -1.210 2.094 1.537
As 0.012 0.021 5.332
As 2.418 -0.002 1.537
As 2.382 4.124 1.526
As -0.025 4.146 5.321
As 3.604 2.051 5.321
Sc 0.000 4.146 0.000
Sc 3.591 2.072 0.000
Pa 0.000 0.000 0.000
```

Results
Final energy in eV per atom: -6.806
Energy of formation from the pure elements in eV/atom: -1.403